No. 1
Computed, not measured: an optimized crystal structure of BaGeI2 at the PBE-GGA level of DFT.

Lattice parameters (Å, degrees): 10.407 10.407 10.407 26.08 26.08 26.08
Positions (direct):
1 Ba 0.000 0.000 0.000
2 Ge 0.500 0.500 0.500
3 I 0.116 0.116 0.116
4 I 0.884 0.884 0.884

## Properties
Excess energy over the best structure of this formula in the dataset: 344 meV per atom
Magnetization: 0.00 Bohr magnetons per cell
Uncorrected formation energy: -23 kJ per mole of atoms

---

No. 2
Computed, not measured: an optimized crystal structure of Ho3Al3Cu at the PBE-GGA level of DFT.

Lattice parameters (Å, degrees): 5.783 5.783 14.295 108.78 108.78 44.78
Positions (direct):
1 Ho 0.032 0.032 0.383
2 Ho 0.100 0.100 0.920
3 Ho 0.247 0.247 0.229
4 Ho 0.753 0.753 0.771
5 Ho 0.900 0.900 0.080
6 Ho 0.968 0.968 0.617
7 Al 0.360 0.360 0.459
8 Al 0.389 0.389 0.924
9 Al 0.456 0.456 0.762
10 Al 0.544 0.544 0.238
11 Al 0.611 0.611 0.076
12 Al 0.640 0.640 0.541
13 Cu 0.250 0.250 0.603
14 Cu 0.750 0.750 0.397

## Properties
Formation energy from the elements: -2.7 eV per formula unit
Magnetization: 0.00 Bohr magnetons per cell

---

No. 3
Computed, not measured: an optimized crystal structure of TbGdInHg at the PBE-GGA level of DFT.

Lattice parameters (Å, degrees): 5.328 5.328 5.328 60.00 60.00 60.00
Positions (direct):
1 Tb 0.000 0.000 0.000
2 Gd 0.500 0.500 0.500
3 In 0.750 0.750 0.750
4 Hg 0.250 0.250 0.250

## Properties
Formation energy from the elements: -2.0 eV per formula unit
Magnetization: 7.92 Bohr magnetons per cell

---

No. 4
Computed, not measured: an optimized crystal structure of Pu5NpN6 at the PBE-GGA level of DFT.

Lattice parameters (Å, degrees): 6.038 6.038 6.037 99.59 99.59 120.02
Positions (direct):
1 Pu 0.000 0.000 0.000
2 Pu 0.166 0.834 0.500
3 Pu 0.332 0.668 0.000
4 Pu 0.668 0.332 0.000
5 Pu 0.834 0.166 0.500
6 Np 0.500 0.500 0.500
7 N 0.092 0.419 0.255
8 N 0.256 0.256 0.747
9 N 0.419 0.092 0.255
10 N 0.581 0.908 0.745
11 N 0.744 0.744 0.253
12 N 0.908 0.581 0.745

## Properties
Magnetization: 27.46 Bohr magnetons per cell
Uncorrected formation energy: -118 kJ per mole of atoms

---

| no. | calculated volume (Å³/cell) |
| --- | --- |
| 1 | 191.90 |
| 2 | 315.71 |
| 3 | 106.96 |
| 4 | 179.68 |